[1]
# RbHgBiAu2 PBE optimized geometry
data_RbHgBiAu2
_chemical_formula_sum 'Rb1 Hg1 Bi1 Au2'
_symmetry_space_group_name_H-M 'P 1'
_symmetry_Int_Tables_number 1
_cell_length_a 5.567
_cell_length_b 5.567
_cell_length_c 6.026
_cell_angle_alpha 90.00
_cell_angle_beta 90.00
_cell_angle_gamma 90.00
loop_
_symmetry_equiv_pos_as_xyz
'x,y,z'
loop_
_atom_site_label
_atom_site_fract_x
_atom_site_fract_y
_atom_site_fract_z
Rb1 0.500 0.500 0.500
Hg1 0.000 0.000 0.500
Au1 0.500 0.000 0.000
Bi1 0.000 0.000 0.000
Au2 0.000 0.500 0.000
# Fermi-level density of states = 1.14 states/eV per cell
# Total energy = -2.3892 eV/atom
# Crystal system = tetragonal
# V = 186.8 Å³ per cell

[2]
# FeB3Rh6 PBE optimized geometry
data_FeB3Rh6
_chemical_formula_sum 'Fe2 B6 Rh12'
_symmetry_space_group_name_H-M 'P 1'
_symmetry_Int_Tables_number 1
_cell_length_a 7.502
_cell_length_b 7.502
_cell_length_c 4.770
_cell_angle_alpha 89.79
_cell_angle_beta 89.79
_cell_angle_gamma 60.10
loop_
_symmetry_equiv_pos_as_xyz
'x,y,z'
loop_
_atom_site_label
_atom_site_fract_x
_atom_site_fract_y
_atom_site_fract_z
Rh1 0.460 0.078 0.541
Rh2 0.078 0.460 0.541
B1 0.619 0.188 0.276
Rh3 0.667 0.667 0.536
Rh4 0.876 0.250 0.361
Rh5 0.332 0.332 0.051
B2 0.190 0.190 0.282
B3 0.188 0.619 0.276
B4 0.815 0.815 0.765
B5 0.817 0.372 0.768
Rh6 0.250 0.876 0.361
Rh7 0.748 0.122 0.869
Rh8 0.552 0.552 0.022
Rh9 0.122 0.748 0.869
B6 0.372 0.817 0.768
Rh10 0.128 0.128 0.875
Fe1 0.552 0.906 0.045
Rh11 0.871 0.871 0.349
Fe2 0.906 0.552 0.045
Rh12 0.457 0.457 0.526
# Fermi-level density of states = 19.65 states/eV per cell
# Total energy = -7.5168 eV/atom
# Crystal system = monoclinic
# V = 232.7 Å³ per cell

[3]
# K2PtN2 PBE optimized geometry
data_K2PtN2
_chemical_formula_sum 'K4 Pt2 N4'
_symmetry_space_group_name_H-M 'P 1'
_symmetry_Int_Tables_number 1
_cell_length_a 8.371
_cell_length_b 8.371
_cell_length_c 3.028
_cell_angle_alpha 90.00
_cell_angle_beta 90.00
_cell_angle_gamma 90.00
loop_
_symmetry_equiv_pos_as_xyz
'x,y,z'
loop_
_atom_site_label
_atom_site_fract_x
_atom_site_fract_y
_atom_site_fract_z
N1 0.451 0.951 0.000
Pt1 0.000 0.000 0.000
K1 0.261 0.239 0.500
K2 0.239 0.739 0.500
N2 0.049 0.451 0.000
Pt2 0.500 0.500 0.000
K3 0.761 0.261 0.500
N3 0.549 0.049 0.000
N4 0.951 0.549 0.000
K4 0.739 0.761 0.500
# Fermi-level density of states = 3.18 states/eV per cell
# Crystal system = tetragonal
# V = 212.2 Å³ per cell
# Formation energy without anion corrections = 0.00 eV per atom